No. 1
Below is a relaxed KSbSe crystal, with properties calculated at the PBE-GGA level.

Results
SG: P1

Lattice parameters (Å, degrees): 5.326 6.457 7.787 108.66 95.91 112.81
Atoms (fractional coordinates):
K 0.136 0.766 0.568
K 0.659 0.034 0.204
Se 0.391 0.326 0.496
Sb 0.291 0.367 0.061
Se 0.818 0.096 0.798
Sb 0.686 0.467 0.833

No. 2
Below is a relaxed PmHoAlAg crystal, with properties calculated at the PBE-GGA level.

Results
E_form in meV per atom: -316
SG: F-43m

Lattice parameters (Å, degrees): 5.213 5.213 5.213 60.00 60.00 60.00
Atoms (fractional coordinates):
Ag 0.250 0.250 0.250
Al 0.750 0.750 0.750
Pm 0.500 0.500 0.500
Ho 0.000 0.000 0.000

No. 3
Below is a relaxed LaNpBeN3 crystal, with properties calculated at the PBE-GGA level.

Results
SG: P2_1/m

Lattice parameters (Å, degrees): 3.376 7.285 7.050 102.12 90.00 90.00
Atoms (fractional coordinates):
Np 0.750 0.339 0.820
Be 0.750 0.927 0.401
Be 0.250 0.073 0.599
La 0.250 0.178 0.219
N 0.250 0.570 0.857
N 0.250 0.125 0.848
N 0.750 0.875 0.152
N 0.750 0.156 0.515
N 0.250 0.844 0.485
N 0.750 0.430 0.143
Np 0.250 0.661 0.180
La 0.750 0.822 0.781

No. 4
Below is a relaxed CaBe3Ir3 crystal, with properties calculated at the PBE-GGA level.

Results
E_form in meV per atom: 32
SG: Pm-3n

Lattice parameters (Å, degrees): 6.095 6.095 6.095 90.00 90.00 90.00
Atoms (fractional coordinates):
Ir 0.500 0.250 0.000
Ir 0.000 0.500 0.750
Be 0.500 0.000 0.250
Ca 0.500 0.500 0.500
Be 0.000 0.250 0.500
Ir 0.500 0.750 0.000
Ir 0.750 0.000 0.500
Be 0.500 0.000 0.750
Ir 0.250 0.000 0.500
Ir 0.000 0.500 0.250
Be 0.750 0.500 0.000
Ca 0.000 0.000 0.000
Be 0.250 0.500 0.000
Be 0.000 0.750 0.500

No. 5
Below is a relaxed Nd2Ga6Pd crystal, with properties calculated at the PBE-GGA level.

Results
E_form in meV per atom: -619
SG: P-3m1

Lattice parameters (Å, degrees): 5.731 5.997 5.997 60.00 90.00 90.00
Atoms (fractional coordinates):
Nd 0.843 0.667 0.667
Ga 0.322 0.354 0.823
Ga 0.322 0.823 0.354
Nd 0.157 0.333 0.333
Pd 0.000 0.000 0.000
Ga 0.678 0.177 0.177
Ga 0.322 0.823 0.823
Ga 0.678 0.646 0.177
Ga 0.678 0.177 0.646

No. 6
Below is a relaxed Zr2AlPd8 crystal, with properties calculated at the PBE-GGA level.

Results
E_form in meV per atom: -686
SG: Immm

Lattice parameters (Å, degrees): 4.573 5.826 7.807 111.95 107.03 90.00
Atoms (fractional coordinates):
Pd 0.000 0.253 0.000
Pd 0.636 0.396 0.272
Pd 0.636 0.876 0.272
Pd 0.818 0.818 0.636
Zr 0.812 0.312 0.623
Pd 0.182 0.182 0.364
Zr 0.188 0.688 0.377
Pd 0.364 0.124 0.728
Pd 0.364 0.604 0.728
Pd 0.000 0.747 0.000
Al 0.500 0.000 0.000

No. 7
Below is a relaxed Ac2ErTc3O12 crystal, with properties calculated at the PBE-GGA level.

Results
SG: R-3m

Lattice parameters (Å, degrees): 6.786 6.786 6.786 64.87 64.87 64.87
Atoms (fractional coordinates):
O 0.580 0.142 0.142
Tc 0.000 0.000 0.500
Ac 0.381 0.381 0.381
O 0.877 0.278 0.278
O 0.142 0.580 0.142
Tc 0.500 0.000 0.000
O 0.722 0.123 0.722
O 0.278 0.877 0.278
O 0.123 0.722 0.722
O 0.858 0.858 0.420
Ac 0.619 0.619 0.619
O 0.278 0.278 0.877
O 0.420 0.858 0.858
Tc 0.000 0.500 0.000
O 0.858 0.420 0.858
O 0.722 0.722 0.123
O 0.142 0.142 0.580
Er 0.000 0.000 0.000

No. 8
Below is a relaxed YIn2HgPd crystal, with properties calculated at the PBE-GGA level.

Results
E_form in meV per atom: 502
SG: P4/mmm

Lattice parameters (Å, degrees): 5.236 5.729 5.236 90.00 90.00 90.00
Atoms (fractional coordinates):
Y 0.000 0.500 0.000
Pd 0.500 0.500 0.500
In 0.500 0.000 0.000
Hg 0.000 0.000 0.000
In 0.000 0.000 0.500

No. 9
Below is a relaxed AsWCl2 crystal, with properties calculated at the PBE-GGA level.

Results
SG: P4/mmm

Lattice parameters (Å, degrees): 4.798 4.798 3.001 90.00 90.00 90.00
Atoms (fractional coordinates):
As 0.000 0.500 0.500
Cl 0.000 0.000 0.000
Cl 0.500 0.500 0.000
W 0.500 0.000 0.500

No. 10
Below is a relaxed VFeSb2C crystal, with properties calculated at the PBE-GGA level.

Results
SG: P4/mmm

Lattice parameters (Å, degrees): 4.786 3.562 4.786 90.00 90.00 90.00
Atoms (fractional coordinates):
V 0.500 0.500 0.500
Sb 0.500 0.000 0.000
Fe 0.000 0.500 0.000
Sb 0.000 0.000 0.500
C 0.000 0.000 0.000

No. 11
Below is a relaxed Ag4Au3 crystal, with properties calculated at the PBE-GGA level.

Results
E_form in meV per atom: 69
SG: P6/mmm

Lattice parameters (Å, degrees): 5.403 5.403 5.321 90.00 90.00 120.00
Atoms (fractional coordinates):
Ag 0.000 0.000 0.746
Au 0.000 0.500 0.000
Ag 0.000 0.000 0.254
Ag 0.333 0.667 0.500
Au 0.500 0.000 0.000
Au 0.500 0.500 0.000
Ag 0.667 0.333 0.500

No. 12
Below is a relaxed CrSb2As crystal, with properties calculated at the PBE-GGA level.

Results
SG: F-43m

Lattice parameters (Å, degrees): 5.040 5.040 5.040 60.00 60.00 60.00
Atoms (fractional coordinates):
Sb 0.250 0.250 0.250
As 0.500 0.500 0.500
Sb 0.000 0.000 0.000
Cr 0.750 0.750 0.750

No. 13
Below is a relaxed Ba2MgCd3Ag12 crystal, with properties calculated at the PBE-GGA level.

Results
E_form in meV per atom: 124
SG: R-3m

Lattice parameters (Å, degrees): 8.762 8.762 8.762 63.57 63.57 63.57
Atoms (fractional coordinates):
Cd 0.000 0.000 0.500
Ag 0.868 0.868 0.349
Ag 0.651 0.132 0.132
Ag 0.132 0.132 0.651
Ag 0.019 0.355 0.355
Ag 0.981 0.645 0.645
Ag 0.645 0.981 0.645
Ag 0.645 0.645 0.981
Ag 0.868 0.349 0.868
Ba 0.603 0.603 0.603
Mg 0.000 0.000 0.000
Cd 0.000 0.500 0.000
Ag 0.132 0.651 0.132
Ag 0.355 0.019 0.355
Ag 0.349 0.868 0.868
Cd 0.500 0.000 0.000
Ag 0.355 0.355 0.019
Ba 0.397 0.397 0.397

No. 14
Below is a relaxed Cs2Ba2TaSe6 crystal, with properties calculated at the PBE-GGA level.

Results
SG: C2/m

Lattice parameters (Å, degrees): 7.701 7.701 8.817 99.21 99.21 117.87
Atoms (fractional coordinates):
Se 0.936 0.662 0.315
Se 0.064 0.338 0.685
Cs 0.177 0.823 0.000
Se 0.201 0.201 0.314
Se 0.338 0.064 0.685
Ba 0.663 0.337 0.500
Ba 0.337 0.663 0.500
Se 0.662 0.936 0.315
Cs 0.823 0.177 0.000
Se 0.799 0.799 0.686
Ta 0.000 0.000 0.500

No. 15
Below is a relaxed VNiGe2 crystal, with properties calculated at the PBE-GGA level.

Results
E_form in meV per atom: -119
SG: P4/mmm

Lattice parameters (Å, degrees): 3.251 4.090 4.090 90.00 90.00 90.00
Atoms (fractional coordinates):
Ge 0.000 0.000 0.500
V 0.500 0.500 0.500
Ge 0.000 0.500 0.000
Ni 0.500 0.000 0.000

No. 16
Below is a relaxed Cu2Se crystal, with properties calculated at the PBE-GGA level.

Results
SG: Imm2

Lattice parameters (Å, degrees): 4.315 4.315 4.315 125.36 122.84 83.05
Atoms (fractional coordinates):
Cu 0.921 0.299 0.622
Cu 0.323 0.701 0.622
Se 0.952 0.000 0.952

No. 17
Below is a relaxed NaTaBe2Zn crystal, with properties calculated at the PBE-GGA level.

Results
E_form in meV per atom: 1936
SG: P4/mmm

Lattice parameters (Å, degrees): 4.237 4.725 4.237 90.00 90.00 90.00
Atoms (fractional coordinates):
Be 0.500 0.000 0.000
Na 0.000 0.000 0.000
Zn 0.500 0.500 0.500
Ta 0.000 0.500 0.000
Be 0.000 0.000 0.500

No. 18
Below is a relaxed KMgVCl6 crystal, with properties calculated at the PBE-GGA level.

Results
SG: P-31c

Lattice parameters (Å, degrees): 6.420 6.420 14.005 90.00 90.00 120.00
Atoms (fractional coordinates):
V 0.333 0.667 0.250
Cl 0.986 0.622 0.849
Cl 0.622 0.635 0.151
Cl 0.622 0.986 0.349
V 0.667 0.333 0.750
Cl 0.365 0.986 0.151
Cl 0.014 0.635 0.349
Cl 0.014 0.378 0.151
Cl 0.378 0.365 0.849
Cl 0.986 0.365 0.651
Cl 0.378 0.014 0.651
Cl 0.635 0.622 0.651
Mg 0.333 0.667 0.750
Cl 0.365 0.378 0.349
Cl 0.635 0.014 0.849
Mg 0.667 0.333 0.250
K 0.000 0.000 0.000
K 0.000 0.000 0.500

No. 19
Below is a relaxed ScU2GaTc4 crystal, with properties calculated at the PBE-GGA level.

Results
E_form in meV per atom: 18
SG: Cmcm

Lattice parameters (Å, degrees): 4.645 4.887 14.671 90.00 90.00 118.38
Atoms (fractional coordinates):
U 0.347 0.694 0.925
Tc 0.000 0.000 0.000
Ga 0.785 0.571 0.750
Tc 0.646 0.292 0.595
Tc 0.435 0.870 0.750
Sc 0.101 0.201 0.750
Tc 0.000 0.000 0.500
U 0.653 0.306 0.075
Ga 0.215 0.429 0.250
Tc 0.565 0.130 0.250
U 0.653 0.306 0.425
Tc 0.646 0.292 0.905
U 0.347 0.694 0.575
Tc 0.354 0.708 0.405
Tc 0.354 0.708 0.095
Sc 0.899 0.799 0.250

No. 20
Below is a relaxed LaPmPr2N4 crystal, with properties calculated at the PBE-GGA level.

Results
SG: P2/m

Lattice parameters (Å, degrees): 3.688 6.388 6.385 109.43 90.00 90.00
Atoms (fractional coordinates):
N 0.000 0.247 0.750
N 0.500 0.754 0.753
Pr 0.500 0.000 0.500
N 0.500 0.246 0.247
Pr 0.000 0.500 0.500
N 0.000 0.753 0.250
Pm 0.000 0.000 0.000
La 0.500 0.500 0.000

No. 21
Below is a relaxed Na2SrRu crystal, with properties calculated at the PBE-GGA level.

Results
E_form in meV per atom: 706
SG: I-42d

Lattice parameters (Å, degrees): 4.358 4.358 12.238 79.74 79.74 90.00
Atoms (fractional coordinates):
Ru 0.000 0.000 0.000
Na 0.089 0.625 0.250
Ru 0.750 0.250 0.500
Sr 0.500 0.500 0.000
Na 0.661 0.125 0.250
Sr 0.250 0.750 0.500
Na 0.375 0.339 0.750
Na 0.875 0.911 0.750

No. 22
Below is a relaxed Sr2DyInS5 crystal, with properties calculated at the PBE-GGA level.

Results
SG: Cmc2_1

Lattice parameters (Å, degrees): 4.054 8.938 12.682 90.00 90.00 103.11
Atoms (fractional coordinates):
S 0.367 0.733 0.000
S 0.685 0.370 0.873
S 0.052 0.104 0.060
Sr 0.112 0.224 0.682
S 0.715 0.430 0.163
S 0.507 0.014 0.268
In 0.460 0.920 0.447
S 0.285 0.570 0.663
Sr 0.864 0.728 0.810
In 0.540 0.080 0.947
S 0.948 0.896 0.560
Sr 0.888 0.776 0.182
Sr 0.136 0.272 0.310
Dy 0.215 0.429 0.019
Dy 0.785 0.571 0.519
S 0.633 0.267 0.500
S 0.315 0.630 0.373
S 0.493 0.986 0.768

No. 23
Below is a relaxed RuPtI2 crystal, with properties calculated at the PBE-GGA level.

Results
SG: Fm-3m

Lattice parameters (Å, degrees): 4.880 4.880 4.880 60.00 60.00 60.00
Atoms (fractional coordinates):
I 0.250 0.250 0.250
Ru 0.000 0.000 0.000
Pt 0.500 0.500 0.500
I 0.750 0.750 0.750

| no. | electronic total energy (eV for the cell shown) |
| --- | --- |
| 1 | -20.799 |
| 2 | -17.188 |
| 3 | -107.085 |
| 4 | -79.077 |
| 5 | -38.463 |
| 6 | -69.927 |
| 7 | -141.698 |
| 8 | -14.925 |
| 9 | -16.742 |
| 10 | -31.185 |
| 11 | -20.754 |
| 12 | -20.635 |
| 13 | -40.168 |
| 14 | -51.868 |
| 15 | -24.610 |
| 16 | -11.690 |
| 17 | -12.216 |
| 18 | -74.799 |
| 19 | -146.504 |
| 20 | -63.153 |
| 21 | -21.544 |
| 22 | -93.261 |
| 23 | -14.709 |